A plane-wave DFT calculation with PBE+U was carried out for an optimized crystal structure of LiCoSb2O8.

Cell lengths 5.333, 5.333, 5.939 Å; angles 90.00, 90.00, 120.00 degrees
Fractional coordinates of all 12 atoms:
Co  0.000  0.000  0.000
O  0.948  0.662  0.847
O  0.714  0.052  0.847
O  0.662  0.714  0.153
O  0.333  0.667  0.580
O  0.286  0.948  0.153
O  0.667  0.333  0.420
O  0.052  0.338  0.153
O  0.338  0.286  0.847
Li  0.000  0.000  0.500
Sb  0.333  0.667  0.918
Sb  0.667  0.333  0.082

Summary:
Energy (eV/atom): -5.43
Crystal system: trigonal
Magnetization (μB per formula unit): 2.000